# Tm2Al3GaAu4 (PBE, optimized geometry)
data_Tm2Al3GaAu4
_chemical_formula_sum 'Tm2 Al3 Ga1 Au4'
_cell_length_a 4.295
_cell_length_b 4.295
_cell_length_c 10.634
_cell_angle_alpha 90.00
_cell_angle_beta 90.00
_cell_angle_gamma 90.00
_symmetry_space_group_name_H-M 'P -4 m 2'
_symmetry_Int_Tables_number 115
loop_
_symmetry_equiv_pos_as_xyz
'x,y,z'
'y,-x,-z'
'-x,-y,z'
'-y,x,-z'
'-x,y,z'
'-y,-x,-z'
'x,-y,z'
'y,x,-z'
loop_
_atom_site_label
_atom_site_type_symbol
_atom_site_fract_x
_atom_site_fract_y
_atom_site_fract_z
Tm1 Tm 0.000 0.500 0.248
Al1 Al 0.000 0.500 0.868
Al2 Al 0.500 0.500 0.500
Ga1 Ga 0.000 0.000 0.500
Au1 Au 0.000 0.000 0.000
Au2 Au 0.000 0.500 0.638
Au3 Au 0.500 0.500 0.000
# Total moment: 0.00 Bohr magnetons per cell
# Formation enthalpy at 0 K: -6.36 eV/f.u.
# VASP energy: -4.267 eV/atom



# Al2PbSe (PBE, optimized geometry)
data_Al2PbSe
_chemical_formula_sum 'Al4 Pb2 Se2'
_cell_length_a 3.716
_cell_length_b 5.681
_cell_length_c 9.005
_cell_angle_alpha 90.00
_cell_angle_beta 90.00
_cell_angle_gamma 90.00
_symmetry_space_group_name_H-M 'C m m 2'
_symmetry_Int_Tables_number 35
loop_
_symmetry_equiv_pos_as_xyz
'x,y,z'
'-x,-y,z'
'-x,y,z'
'x,-y,z'
'x+1/2,y+1/2,z'
'-x+1/2,-y+1/2,z'
'-x+1/2,y+1/2,z'
'x+1/2,-y+1/2,z'
loop_
_atom_site_label
_atom_site_type_symbol
_atom_site_fract_x
_atom_site_fract_y
_atom_site_fract_z
Al1 Al 0.000 0.000 0.000
Al2 Al 0.000 0.500 0.226
Pb1 Pb 0.000 0.000 0.509
Se1 Se 0.000 0.500 0.826
# Total moment: 0.00 Bohr magnetons per cell
# Formation energy without anion corrections: 0.045 eV/atom
# Energy above the most stable polymorph in this dataset: 186 meV per atom
# VASP energy: -3.625 eV/atom



# Sc2CrIn (PBE, optimized geometry)
data_Sc2CrIn
_chemical_formula_sum 'Sc8 Cr4 In4'
_cell_length_a 6.858
_cell_length_b 6.858
_cell_length_c 6.858
_cell_angle_alpha 90.00
_cell_angle_beta 90.00
_cell_angle_gamma 90.00
_symmetry_space_group_name_H-M 'F -4 3 m'
_symmetry_Int_Tables_number 216
_symmetry_space_group_name_Hall 'F -4 2 3'
loop_
_atom_site_label
_atom_site_type_symbol
_atom_site_fract_x
_atom_site_fract_y
_atom_site_fract_z
Sc1 Sc 0.000 0.000 0.000
Sc2 Sc 0.250 0.250 0.250
Cr1 Cr 0.250 0.250 0.750
In1 In 0.000 0.000 0.500
# Total moment: 12.01 Bohr magnetons per cell
# Formation enthalpy at 0 K: -0.01 eV/f.u.
# VASP energy: -6.259 eV/atom



# Pm6Ge2RhSe3 (PBE, optimized geometry)
data_Pm6Ge2RhSe3
_chemical_formula_sum 'Pm12 Ge4 Rh2 Se6'
_cell_length_a 18.550
_cell_length_b 4.203
_cell_length_c 8.544
_cell_angle_alpha 90.00
_cell_angle_beta 104.39
_cell_angle_gamma 90.00
_symmetry_space_group_name_H-M 'C 1 2/m 1'
_symmetry_Int_Tables_number 12
loop_
_symmetry_equiv_pos_as_xyz
'x,y,z'
'-x,-y,-z'
'-x,y,-z'
'x,-y,z'
'x+1/2,y+1/2,z'
'-x+1/2,-y+1/2,-z'
'-x+1/2,y+1/2,-z'
'x+1/2,-y+1/2,z'
loop_
_atom_site_label
_atom_site_type_symbol
_atom_site_fract_x
_atom_site_fract_y
_atom_site_fract_z
Pm1 Pm 0.003 0.000 0.239
Pm2 Pm 0.160 0.500 0.089
Pm3 Pm 0.169 0.500 0.580
Ge1 Ge 0.166 0.000 0.335
Rh1 Rh 0.000 0.500 0.000
Se1 Se 0.000 0.500 0.500
Se2 Se 0.169 0.000 0.835
# Total moment: 0.00 Bohr magnetons per cell
# Formation energy without anion corrections: -1.320 eV/atom
# VASP energy: -5.949 eV/atom



# NiGe3Ir (PBE, optimized geometry)
data_NiGe3Ir
_chemical_formula_sum 'Ni2 Ge6 Ir2'
_cell_length_a 3.430
_cell_length_b 6.784
_cell_length_c 7.975
_cell_angle_alpha 99.28
_cell_angle_beta 102.39
_cell_angle_gamma 104.63
_symmetry_space_group_name_H-M 'P -1'
_symmetry_Int_Tables_number 2
loop_
_symmetry_equiv_pos_as_xyz
'x,y,z'
'-x,-y,-z'
loop_
_atom_site_label
_atom_site_type_symbol
_atom_site_fract_x
_atom_site_fract_y
_atom_site_fract_z
Ni1 Ni 0.136 0.114 0.155
Ge1 Ge 0.311 0.161 0.461
Ge2 Ge 0.363 0.477 0.248
Ge3 Ge 0.438 0.818 0.057
Ir1 Ir 0.028 0.760 0.294
# Total moment: 0.00 Bohr magnetons per cell
# Formation enthalpy at 0 K: -0.52 eV/f.u.
# Energy above the most stable polymorph in this dataset: 0 meV per atom
# VASP energy: -5.803 eV/atom



# YTc2Rh (PBE, optimized geometry)
data_YTc2Rh
_chemical_formula_sum 'Y2 Tc4 Rh2'
_cell_length_a 3.388
_cell_length_b 4.297
_cell_length_c 9.473
_cell_angle_alpha 90.00
_cell_angle_beta 90.00
_cell_angle_gamma 90.00
_symmetry_space_group_name_H-M 'I m m m'
_symmetry_Int_Tables_number 71
_symmetry_space_group_name_Hall '-I 2 2'
loop_
_atom_site_label
_atom_site_type_symbol
_atom_site_fract_x
_atom_site_fract_y
_atom_site_fract_z
Y1 Y 0.000 0.000 0.000
Tc1 Tc 0.000 0.500 0.246
Rh1 Rh 0.000 0.000 0.500
# Total moment: 0.00 Bohr magnetons per cell
# Formation enthalpy at 0 K: 0.53 eV/f.u.
# Energy above the most stable polymorph in this dataset: 170 meV per atom
# VASP energy: -8.504 eV/atom